# 1
{"formula": "Sr2TlHg", "functional": "PBE-GGA", "state": "relaxed", "dft_energy_ev_per_cell": -7.53, "density_g_cm3": 7.1, "cell": [[-2.0384, 2.8042, 5.9375], [2.0384, -2.8042, 5.9375], [2.0384, 2.8042, -5.9375]], "species": ["Sr", "Sr", "Tl", "Hg"], "fractional_positions": [[0.0000, 0.0000, 0.0000], [0.7083, 0.2083, 0.5000], [0.2694, 0.7694, 0.5000], [0.4737, 0.4737, 0.0000]]}

# 2
{"formula": "LiThCd11", "functional": "PBE-GGA", "state": "relaxed", "dft_energy_ev_per_cell": -20.86, "density_g_cm3": 8.5, "cell": [[2.9460, -6.9843, 0.0000], [2.9460, 6.9843, 0.0000], [-2.8635, 0.0000, 7.0156]], "species": ["Li", "Th", "Cd", "Cd", "Cd", "Cd", "Cd", "Cd", "Cd", "Cd", "Cd", "Cd", "Cd"], "fractional_positions": [[0.0000, 0.0000, 0.0000], [0.5000, 0.5000, 0.5000], [0.0000, 0.5000, 0.5000], [0.0084, 0.7991, 0.2818], [0.1409, 0.4840, 0.1448], [0.2009, 0.9916, 0.7182], [0.4840, 0.1409, 0.1448], [0.5000, 0.0000, 0.5000], [0.5000, 0.5000, 0.0000], [0.5160, 0.8591, 0.8552], [0.7991, 0.0084, 0.2818], [0.8591, 0.5160, 0.8552], [0.9916, 0.2009, 0.7182]]}

# 3
{"formula": "Sm3BSe6", "functional": "PBE-GGA", "state": "relaxed", "density_g_cm3": 5.9, "e_form_raw_ev_per_atom": -1.397, "cell": [[5.6576, -6.9456, 0.0000], [5.6576, 6.9456, 0.0000], [0.0000, 0.0000, 6.6890]], "species": ["Sm", "Sm", "Sm", "Sm", "Sm", "Sm", "B", "B", "Se", "Se", "Se", "Se", "Se", "Se", "Se", "Se", "Se", "Se", "Se", "Se"], "fractional_positions": [[0.1004, 0.8996, 0.5000], [0.2183, 0.4190, 0.6062], [0.4190, 0.2183, 0.1062], [0.5810, 0.7817, 0.6062], [0.7817, 0.5810, 0.1062], [0.8996, 0.1004, 0.0000], [0.3040, 0.6960, 0.1522], [0.6960, 0.3040, 0.6522], [0.0936, 0.6056, 0.2882], [0.1297, 0.1943, 0.3036], [0.1943, 0.1297, 0.8036], [0.2903, 0.7097, 0.8405], [0.3944, 0.9064, 0.2882], [0.4467, 0.5533, 0.2686], [0.5533, 0.4467, 0.7686], [0.6056, 0.0936, 0.7882], [0.7097, 0.2903, 0.3405], [0.8057, 0.8703, 0.3036], [0.8703, 0.8057, 0.8036], [0.9064, 0.3944, 0.7882]]}

# 4
{"formula": "Cs3Sr3ReO8", "functional": "PBE-GGA", "state": "relaxed", "density_g_cm3": 5.0, "e_form_raw_ev_per_atom": -2.045, "cell": [[3.6683, 2.1179, 6.8834], [-3.6683, 2.1179, 6.8834], [0.0000, -4.2358, 6.8834]], "species": ["Cs", "Cs", "Cs", "Sr", "Sr", "Sr", "Re", "O", "O", "O", "O", "O", "O", "O", "O"], "fractional_positions": [[0.0000, 0.5000, 0.5000], [0.5000, 0.0000, 0.5000], [0.5000, 0.5000, 0.0000], [0.0000, 0.0000, 0.5000], [0.0000, 0.5000, 0.0000], [0.5000, 0.0000, 0.0000], [0.5000, 0.5000, 0.5000], [0.2244, 0.2244, 0.2244], [0.3012, 0.6780, 0.6780], [0.3220, 0.3220, 0.6988], [0.3220, 0.6988, 0.3220], [0.6780, 0.3012, 0.6780], [0.6780, 0.6780, 0.3012], [0.6988, 0.3220, 0.3220], [0.7756, 0.7756, 0.7756]]}

# 5
{"formula": "CsSrMo3", "functional": "PBE-GGA", "state": "relaxed", "dft_energy_ev_per_cell": -21.38, "density_g_cm3": 6.5, "cell": [[5.0595, 0.0000, 0.0000], [0.0000, 5.0595, 0.0000], [0.0000, 0.0000, 5.0595]], "species": ["Cs", "Sr", "Mo", "Mo", "Mo"], "fractional_positions": [[0.0000, 0.0000, 0.0000], [0.5000, 0.5000, 0.5000], [0.0000, 0.0000, 0.5000], [0.0000, 0.5000, 0.0000], [0.5000, 0.0000, 0.0000]]}

# 6
{"formula": "ZrAgPd6", "functional": "PBE-GGA", "state": "relaxed", "dft_energy_ev_per_cell": -46.02, "density_g_cm3": 10.7, "cell": [[4.0123, 0.0000, 0.0000], [0.0000, 4.0123, 0.0000], [0.0000, 0.0000, 8.0782]], "species": ["Zr", "Ag", "Pd", "Pd", "Pd", "Pd", "Pd", "Pd"], "fractional_positions": [[0.0000, 0.0000, 0.0000], [0.0000, 0.0000, 0.5000], [0.0000, 0.5000, 0.2464], [0.0000, 0.5000, 0.7536], [0.5000, 0.0000, 0.2464], [0.5000, 0.0000, 0.7536], [0.5000, 0.5000, 0.0000], [0.5000, 0.5000, 0.5000]]}

# 7
{"formula": "Zr3Pt", "functional": "PBE-GGA", "state": "relaxed", "dft_energy_ev_per_cell": -135.26, "density_g_cm3": 9.0, "cell": [[6.2016, 0.0000, 0.0000], [0.0000, 9.4547, 0.0000], [0.0000, 0.0000, 5.9173]], "species": ["Zr", "Zr", "Zr", "Zr", "Zr", "Zr", "Zr", "Zr", "Zr", "Zr", "Zr", "Zr", "Pt", "Pt", "Pt", "Pt"], "fractional_positions": [[0.0301, 0.2500, 0.1632], [0.2115, 0.0468, 0.6241], [0.2115, 0.4532, 0.6241], [0.2885, 0.5468, 0.1241], [0.2885, 0.9532, 0.1241], [0.4699, 0.7500, 0.6632], [0.5301, 0.2500, 0.3368], [0.7115, 0.0468, 0.8759], [0.7115, 0.4532, 0.8759], [0.7885, 0.5468, 0.3759], [0.7885, 0.9532, 0.3759], [0.9699, 0.7500, 0.8368], [0.1106, 0.7500, 0.3867], [0.3894, 0.2500, 0.8867], [0.6106, 0.7500, 0.1133], [0.8894, 0.2500, 0.6133]]}

# 8
{"formula": "Sc2Be2CoNi5", "functional": "PBE-GGA", "state": "relaxed", "dft_energy_ev_per_cell": -119.13, "density_g_cm3": 6.3, "cell": [[8.5093, 0.0000, 0.0000], [0.0000, 8.5093, 0.0000], [0.0000, 0.0000, 3.3284]], "species": ["Sc", "Sc", "Sc", "Sc", "Be", "Be", "Be", "Be", "Co", "Co", "Ni", "Ni", "Ni", "Ni", "Ni", "Ni", "Ni", "Ni", "Ni", "Ni"], "fractional_positions": [[0.1807, 0.3193, 0.0000], [0.3193, 0.8193, 0.0000], [0.6807, 0.1807, 0.0000], [0.8193, 0.6807, 0.0000], [0.1152, 0.6152, 0.0000], [0.3848, 0.1152, 0.0000], [0.6152, 0.8848, 0.0000], [0.8848, 0.3848, 0.0000], [0.0000, 0.0000, 0.0000], [0.5000, 0.5000, 0.0000], [0.0000, 0.5000, 0.5000], [0.0650, 0.7895, 0.5000], [0.2105, 0.0650, 0.5000], [0.2895, 0.5650, 0.5000], [0.4350, 0.2895, 0.5000], [0.5000, 0.0000, 0.5000], [0.5650, 0.7105, 0.5000], [0.7105, 0.4350, 0.5000], [0.7895, 0.9350, 0.5000], [0.9350, 0.2105, 0.5000]]}